This record from Alexandria describes a relaxed structure of La4NdTm2. The functional is PBE.

Cell: 12.744 12.744 6.912 Å, 96.99 96.99 150.29°
Fractional positions:
1 La 0.720 0.183 0.871
2 Tm 0.921 0.107 0.047
3 Tm 0.311 0.625 0.951
4 La 0.598 0.562 0.632
5 Nd 0.670 0.420 0.998
6 La 0.188 0.792 0.909
7 La 0.183 0.720 0.371
8 La 0.030 0.135 0.592
9 La 0.135 0.030 0.092
10 Tm 0.107 0.921 0.547
11 La 0.792 0.188 0.409
12 Nd 0.420 0.670 0.498
13 Tm 0.625 0.311 0.451
14 La 0.562 0.598 0.132

Output
symmetry	No. 9
energy of formation from the pure elements	71	meV per atom
calculated volume	489.80	Å³ per cell
total energy	-4.70	eV/atom